# 1
## AlAg3 (GGA-PBE)

Data for crystalline AlAg3 at its relaxed geometry.

Geometry as CIF:
```
data_AlAg3
_chemical_formula_sum 'Al2 Ag6'
_cell_length_a 3.9743
_cell_length_b 3.9743
_cell_length_c 8.5373
_cell_angle_alpha 90.00
_cell_angle_beta 90.00
_cell_angle_gamma 90.00
_space_group_name_H-M_alt 'I 4/m m m'
_space_group_IT_number 139
_space_group_name_Hall '-I 4 2'
loop_
_atom_site_label
_atom_site_fract_x
_atom_site_fract_y
_atom_site_fract_z
Al1 0.0000 0.0000 0.0000
Ag1 0.0000 0.0000 0.5000
Ag2 0.0000 0.5000 0.2500
```

Values from the calculation:
energy = -3.1052 eV/atom

---

# 2
## LuTlFeS3 (GGA-PBE)

Data for crystalline LuTlFeS3 at its relaxed geometry.

Geometry as CIF:
```
data_LuTlFeS3
_chemical_formula_sum 'Lu2 Tl2 Fe2 S6'
_cell_length_a 8.7336
_cell_length_b 3.8681
_cell_length_c 9.2406
_cell_angle_alpha 90.00
_cell_angle_beta 108.81
_cell_angle_gamma 90.00
_space_group_name_H-M_alt 'P 1 21/m 1'
_space_group_IT_number 11
loop_
_space_group_symop_operation_xyz
'x,y,z'
'-x,-y,-z'
'-x,y+1/2,-z'
'x,-y+1/2,z'
loop_
_atom_site_label
_atom_site_fract_x
_atom_site_fract_y
_atom_site_fract_z
Lu1 0.1684 0.2500 0.1453
Tl1 0.2846 0.7500 0.7674
Fe1 0.4248 0.7500 0.4068
S1 0.0381 0.2500 0.8442
S2 0.2980 0.2500 0.4605
S3 0.3839 0.7500 0.1493
```

Values from the calculation:
total moment = 0.64 μB per atom
energy = -5.6657 eV/atom

---

# 3
## Mg4Pa3 (GGA-PBE)

Data for crystalline Mg4Pa3 at its relaxed geometry.

Geometry as CIF:
```
data_Mg4Pa3
_chemical_formula_sum 'Mg8 Pa6'
_cell_length_a 8.5455
_cell_length_b 5.3809
_cell_length_c 8.5532
_cell_angle_alpha 90.00
_cell_angle_beta 119.95
_cell_angle_gamma 90.00
_space_group_name_H-M_alt 'P 1 21/m 1'
_space_group_IT_number 11
loop_
_space_group_symop_operation_xyz
'x,y,z'
'-x,-y,-z'
'-x,y+1/2,-z'
'x,-y+1/2,z'
loop_
_atom_site_label
_atom_site_fract_x
_atom_site_fract_y
_atom_site_fract_z
Mg1 0.0660 0.2500 0.2408
Mg2 0.1746 0.2500 0.9340
Mg3 0.2412 0.7500 0.1744
Mg4 0.3331 0.2500 0.6667
Pa1 0.1244 0.7500 0.5031
Pa2 0.3795 0.7500 0.8758
Pa3 0.4963 0.7500 0.6202
```

Values from the calculation:
total moment = 0.04 μB per atom
energy = -4.6395 eV/atom

---

# 4
## TaInCuTe2S (GGA-PBE)

Data for crystalline TaInCuTe2S at its relaxed geometry.

Geometry as CIF:
```
data_TaInCuTe2S
_chemical_formula_sum 'Ta4 In4 Cu4 Te8 S4'
_cell_length_a 3.7686
_cell_length_b 15.4449
_cell_length_c 9.6726
_cell_angle_alpha 90.00
_cell_angle_beta 90.00
_cell_angle_gamma 90.00
_space_group_name_H-M_alt 'C m c m'
_space_group_IT_number 63
_space_group_name_Hall '-C 2c 2'
loop_
_atom_site_label
_atom_site_fract_x
_atom_site_fract_y
_atom_site_fract_z
Ta1 0.0000 0.0000 0.0000
In1 0.0000 0.2687 0.2500
Cu1 0.0000 0.4746 0.7500
Te1 0.0000 0.3646 0.5471
S1 0.0000 0.0565 0.7500
```

Values from the calculation:
total moment = 0.08 μB per atom
energy = -5.0694 eV/atom

---

# 5
## Li2Zr2Ga2CuPd (GGA-PBE)

Data for crystalline Li2Zr2Ga2CuPd at its relaxed geometry.

Geometry as CIF:
```
data_Li2Zr2Ga2CuPd
_chemical_formula_sum 'Li2 Zr2 Ga2 Cu1 Pd1'
_cell_length_a 4.4409
_cell_length_b 4.4409
_cell_length_c 6.2830
_cell_angle_alpha 90.00
_cell_angle_beta 90.00
_cell_angle_gamma 90.00
_space_group_name_H-M_alt 'P -4 m 2'
_space_group_IT_number 115
loop_
_space_group_symop_operation_xyz
'x,y,z'
'y,-x,-z'
'-x,-y,z'
'-y,x,-z'
'-x,y,z'
'-y,-x,-z'
'x,-y,z'
'y,x,-z'
loop_
_atom_site_label
_atom_site_fract_x
_atom_site_fract_y
_atom_site_fract_z
Li1 0.0000 0.0000 0.0000
Li2 0.5000 0.5000 0.5000
Zr1 0.0000 0.5000 0.7437
Ga1 0.0000 0.5000 0.2572
Cu1 0.0000 0.0000 0.5000
Pd1 0.5000 0.5000 0.0000
```

Values from the calculation:
total moment = 0.00 μB per atom
energy = -4.9131 eV/atom

---

# 6
## SmGdTe (GGA-PBE)

Data for crystalline SmGdTe at its relaxed geometry.

Geometry as CIF:
```
data_SmGdTe
_chemical_formula_sum 'Sm4 Gd4 Te4'
_cell_length_a 7.2470
_cell_length_b 7.2470
_cell_length_c 7.2470
_cell_angle_alpha 90.00
_cell_angle_beta 90.00
_cell_angle_gamma 90.00
_space_group_name_H-M_alt 'F -4 3 m'
_space_group_IT_number 216
_space_group_name_Hall 'F -4 2 3'
loop_
_atom_site_label
_atom_site_fract_x
_atom_site_fract_y
_atom_site_fract_z
Sm1 0.0000 0.0000 0.0000
Gd1 0.0000 0.0000 0.5000
Te1 0.2500 0.2500 0.2500
```

Values from the calculation:
total moment = 0.19 μB per atom
energy = -4.7643 eV/atom

---

# 7
## PaBeGa (GGA-PBE)

Data for crystalline PaBeGa at its relaxed geometry.

Geometry as CIF:
```
data_PaBeGa
_chemical_formula_sum 'Pa4 Be4 Ga4'
_cell_length_a 6.3000
_cell_length_b 6.3000
_cell_length_c 6.3000
_cell_angle_alpha 90.00
_cell_angle_beta 90.00
_cell_angle_gamma 90.00
_space_group_name_H-M_alt 'F -4 3 m'
_space_group_IT_number 216
_space_group_name_Hall 'F -4 2 3'
loop_
_atom_site_label
_atom_site_fract_x
_atom_site_fract_y
_atom_site_fract_z
Pa1 0.0000 0.0000 0.0000
Be1 0.0000 0.0000 0.5000
Ga1 0.2500 0.2500 0.7500
```

Values from the calculation:
total moment = 0.01 μB per atom
energy = -4.9980 eV/atom